Entry 1:
# MoRu2Pb PBEsol relaxed
data_MoRu2Pb
_chemical_formula_sum 'Mo3 Ru6 Pb3'
_symmetry_space_group_name_H-M 'R -3 m'
_symmetry_Int_Tables_number 166
_symmetry_space_group_name_Hall '-R 3 2"'
_cell_length_a 2.9501
_cell_length_b 2.9501
_cell_length_c 26.3982
_cell_angle_alpha 90.00
_cell_angle_beta 90.00
_cell_angle_gamma 120.00
loop_
_atom_site_label
_atom_site_type_symbol
_atom_site_fract_x
_atom_site_fract_y
_atom_site_fract_z
Mo1 Mo 0.0000 0.0000 0.0000
Ru1 Ru 0.0000 0.0000 0.2584
Pb1 Pb 0.0000 0.0000 0.5000
# ρ, kg/m3: 12651
# Energy relative to the elements, meV/atom: 492.4
# Crystal system: trigonal

Entry 2:
# MoRuPb2 PBEsol relaxed
data_MoRuPb2
_chemical_formula_sum 'Mo2 Ru2 Pb4'
_symmetry_space_group_name_H-M 'C 1 2/m 1'
_symmetry_Int_Tables_number 12
_cell_length_a 6.3050
_cell_length_b 8.8339
_cell_length_c 3.0808
_cell_angle_alpha 90.00
_cell_angle_beta 115.88
_cell_angle_gamma 90.00
loop_
_symmetry_equiv_pos_as_xyz
'x,y,z'
'-x,-y,-z'
'-x,y,-z'
'x,-y,z'
'x+1/2,y+1/2,z'
'-x+1/2,-y+1/2,-z'
'-x+1/2,y+1/2,-z'
'x+1/2,-y+1/2,z'
loop_
_atom_site_label
_atom_site_type_symbol
_atom_site_fract_x
_atom_site_fract_y
_atom_site_fract_z
Mo1 Mo 0.0000 0.0000 0.0000
Ru1 Ru 0.0000 0.5000 0.0000
Pb1 Pb 0.2500 0.2500 0.5000
# ρ, kg/m3: 13152
# Energy relative to the lowest polymorph listed for this composition, meV per atom: 340
# Energy relative to the elements, meV/atom: 833.2
# Crystal system: monoclinic

Entry 3:
# Mo2RuPb PBEsol relaxed
data_Mo2RuPb
_chemical_formula_sum 'Mo4 Ru2 Pb2'
_symmetry_space_group_name_H-M 'C 1 m 1'
_symmetry_Int_Tables_number 8
_cell_length_a 9.2607
_cell_length_b 3.0650
_cell_length_c 4.9219
_cell_angle_alpha 90.00
_cell_angle_beta 105.22
_cell_angle_gamma 90.00
loop_
_symmetry_equiv_pos_as_xyz
'x,y,z'
'x,-y,z'
'x+1/2,y+1/2,z'
'x+1/2,-y+1/2,z'
loop_
_atom_site_label
_atom_site_type_symbol
_atom_site_fract_x
_atom_site_fract_y
_atom_site_fract_z
Mo1 Mo 0.0000 0.0000 0.0000
Mo2 Mo 0.2288 0.5000 0.2184
Ru1 Ru 0.4644 0.0000 0.4129
Pb1 Pb 0.2295 0.0000 0.7127
# ρ, kg/m3: 12322
# Energy relative to the elements, meV/atom: 529.9
# Crystal system: monoclinic

Entry 4:
# MoRu2Pb PBEsol relaxed
data_MoRu2Pb
_chemical_formula_sum 'Mo3 Ru6 Pb3'
_symmetry_space_group_name_H-M 'R 3 m'
_symmetry_Int_Tables_number 160
_symmetry_space_group_name_Hall 'R 3 -2"'
_cell_length_a 2.8903
_cell_length_b 2.8903
_cell_length_c 27.0342
_cell_angle_alpha 90.00
_cell_angle_beta 90.00
_cell_angle_gamma 120.00
loop_
_atom_site_label
_atom_site_type_symbol
_atom_site_fract_x
_atom_site_fract_y
_atom_site_fract_z
Mo1 Mo 0.0000 0.0000 0.0000
Ru1 Ru 0.0000 0.0000 0.4864
Ru2 Ru 0.0000 0.0000 0.7441
Pb1 Pb 0.0000 0.0000 0.2404
# ρ, kg/m3: 12870
# Energy relative to the elements, meV/atom: 635.5
# Crystal system: trigonal

Entry 5:
# Mo2RuPb PBEsol relaxed
data_Mo2RuPb
_chemical_formula_sum 'Mo2 Ru1 Pb1'
_symmetry_space_group_name_H-M 'P 4/m m m'
_symmetry_Int_Tables_number 123
_symmetry_space_group_name_Hall '-P 4 2'
_cell_length_a 3.7997
_cell_length_b 3.7997
_cell_length_c 4.5366
_cell_angle_alpha 90.00
_cell_angle_beta 90.00
_cell_angle_gamma 90.00
loop_
_atom_site_label
_atom_site_type_symbol
_atom_site_fract_x
_atom_site_fract_y
_atom_site_fract_z
Mo1 Mo 0.0000 0.5000 0.0000
Ru1 Ru 0.0000 0.0000 0.5000
Pb1 Pb 0.5000 0.5000 0.5000
# ρ, kg/m3: 12680
# Energy relative to the elements, meV/atom: 558.8
# Crystal system: tetragonal

Entry 6:
# MoRu2Pb PBEsol relaxed
data_MoRu2Pb
_chemical_formula_sum 'Mo4 Ru8 Pb4'
_symmetry_space_group_name_H-M 'F -4 3 m'
_symmetry_Int_Tables_number 216
_symmetry_space_group_name_Hall 'F -4 2 3'
_cell_length_a 6.3524
_cell_length_b 6.3524
_cell_length_c 6.3524
_cell_angle_alpha 90.00
_cell_angle_beta 90.00
_cell_angle_gamma 90.00
loop_
_atom_site_label
_atom_site_type_symbol
_atom_site_fract_x
_atom_site_fract_y
_atom_site_fract_z
Mo1 Mo 0.0000 0.0000 0.0000
Ru1 Ru 0.0000 0.0000 0.5000
Ru2 Ru 0.2500 0.2500 0.7500
Pb1 Pb 0.2500 0.2500 0.2500
# ρ, kg/m3: 13092
# Energy relative to the elements, meV/atom: 667.3
# Crystal system: cubic